No. 1
# Ba3Sc4Cu3O12 | Alexandria | PBE | optimized geometry
# E_form (uncorrected) = -2.50 eV/atom
# Size of the total moment = 6.00 μB per cell
# Space group = No. 140
data_Ba3Sc4Cu3O12
_symmetry_space_group_name_H-M 'P 1'
_symmetry_Int_Tables_number 1
_cell_length_a 9.503
_cell_length_b 9.503
_cell_length_c 9.503
_cell_angle_alpha 101.43
_cell_angle_beta 101.43
_cell_angle_gamma 127.13
loop_
_symmetry_equiv_pos_as_xyz
'x,y,z'
loop_
_atom_site_label
_atom_site_fract_x
_atom_site_fract_y
_atom_site_fract_z
Ba1 0.000 0.000 0.000
Ba2 0.223 0.723 0.946
Ba3 0.277 0.223 0.500
Ba4 0.500 0.500 0.000
Ba5 0.723 0.777 0.500
Ba6 0.777 0.277 0.054
Sc1 0.009 0.250 0.759
Sc2 0.250 0.009 0.759
Sc3 0.250 0.491 0.241
Sc4 0.491 0.250 0.241
Sc5 0.509 0.750 0.759
Sc6 0.750 0.509 0.759
Sc7 0.750 0.991 0.241
Sc8 0.991 0.750 0.241
Cu1 0.104 0.396 0.500
Cu2 0.250 0.750 0.500
Cu3 0.396 0.896 0.293
Cu4 0.604 0.104 0.707
Cu5 0.750 0.250 0.500
Cu6 0.896 0.604 0.500
O1 0.001 0.262 0.264
O2 0.115 0.847 0.500
O3 0.122 0.122 0.745
O4 0.122 0.378 0.000
O5 0.153 0.653 0.268
O6 0.238 0.499 0.736
O7 0.262 0.999 0.261
O8 0.347 0.615 0.500
O9 0.378 0.122 0.000
O10 0.378 0.378 0.255
O11 0.385 0.885 0.732
O12 0.499 0.762 0.261
O13 0.501 0.238 0.739
O14 0.615 0.115 0.268
O15 0.622 0.622 0.745
O16 0.622 0.878 0.000
O17 0.653 0.385 0.500
O18 0.738 0.001 0.739
O19 0.762 0.501 0.264
O20 0.847 0.347 0.732
O21 0.878 0.622 0.000
O22 0.878 0.878 0.255
O23 0.885 0.153 0.500
O24 0.999 0.738 0.736

***

No. 2
# Ba4Sc2Cu2O9 | Alexandria | PBE | optimized geometry
# E_form (uncorrected) = -2.44 eV/atom
# Size of the total moment = 0.00 μB per cell
# Space group = No. 69
data_Ba4Sc2Cu2O9
_symmetry_space_group_name_H-M 'P 1'
_symmetry_Int_Tables_number 1
_cell_length_a 9.051
_cell_length_b 9.032
_cell_length_c 5.922
_cell_angle_alpha 71.06
_cell_angle_beta 70.71
_cell_angle_gamma 38.23
loop_
_symmetry_equiv_pos_as_xyz
'x,y,z'
loop_
_atom_site_label
_atom_site_fract_x
_atom_site_fract_y
_atom_site_fract_z
Ba1 0.114 0.621 0.886
Ba2 0.379 0.886 0.621
Ba3 0.621 0.114 0.379
Ba4 0.886 0.379 0.114
Sc1 0.000 0.500 0.500
Sc2 0.500 0.000 0.000
Cu1 0.228 0.772 0.228
Cu2 0.772 0.228 0.772
O1 0.000 0.000 0.000
O2 0.159 0.617 0.383
O3 0.244 0.244 0.756
O4 0.250 0.250 0.250
O5 0.383 0.841 0.159
O6 0.617 0.159 0.841
O7 0.750 0.750 0.750
O8 0.756 0.756 0.244
O9 0.841 0.383 0.617

***

No. 3
# BaScCuO3 | Alexandria | PBE | optimized geometry
# DOS at the Fermi energy = 0.00 states/eV/f.u.
# E_form (uncorrected) = -2.32 eV/atom
# Size of the total moment = 0.00 μB per cell
# Space group = No. 63
data_BaScCuO3
_symmetry_space_group_name_H-M 'P 1'
_symmetry_Int_Tables_number 1
_cell_length_a 6.558
_cell_length_b 6.558
_cell_length_c 8.325
_cell_angle_alpha 90.00
_cell_angle_beta 90.00
_cell_angle_gamma 149.14
loop_
_symmetry_equiv_pos_as_xyz
'x,y,z'
loop_
_atom_site_label
_atom_site_fract_x
_atom_site_fract_y
_atom_site_fract_z
Ba1 0.200 0.800 0.750
Ba2 0.800 0.200 0.250
Sc1 0.500 0.500 0.000
Sc2 0.500 0.500 0.500
Cu1 0.089 0.911 0.250
Cu2 0.911 0.089 0.750
O1 0.109 0.891 0.029
O2 0.109 0.891 0.471
O3 0.453 0.547 0.250
O4 0.547 0.453 0.750
O5 0.891 0.109 0.529
O6 0.891 0.109 0.971

***

No. 4
# Ba2Cu3Se2O2 | Alexandria | PBE | optimized geometry
# DOS at the Fermi energy = 3.51 states/eV/f.u.
# E_form (uncorrected) = -1.25 eV/atom
# Size of the total moment = 0.00 μB per cell
# Space group = No. 139
data_Ba2Cu3Se2O2
_symmetry_space_group_name_H-M 'P 1'
_symmetry_Int_Tables_number 1
_cell_length_a 10.555
_cell_length_b 10.555
_cell_length_c 10.555
_cell_angle_alpha 157.57
_cell_angle_beta 157.57
_cell_angle_gamma 31.94
loop_
_symmetry_equiv_pos_as_xyz
'x,y,z'
loop_
_atom_site_label
_atom_site_fract_x
_atom_site_fract_y
_atom_site_fract_z
Ba1 0.089 0.089 0.000
Ba2 0.911 0.911 0.000
Cu1 0.250 0.750 0.500
Cu2 0.500 0.500 0.000
Cu3 0.750 0.250 0.500
Se1 0.321 0.321 0.000
Se2 0.679 0.679 0.000
O1 0.000 0.500 0.500
O2 0.500 0.000 0.500

***

No. 5
# BaCuSe2O6 | Alexandria | PBE | optimized geometry
# E_form (uncorrected) = -1.29 eV/atom
# Size of the total moment = 3.97 μB per cell
# Space group = No. 31
# Distance to the lowest polymorph of the same formula = 21.6 meV/atom
data_BaCuSe2O6
_symmetry_space_group_name_H-M 'P 1'
_symmetry_Int_Tables_number 1
_cell_length_a 13.547
_cell_length_b 5.423
_cell_length_c 9.059
_cell_angle_alpha 90.00
_cell_angle_beta 90.00
_cell_angle_gamma 90.00
loop_
_symmetry_equiv_pos_as_xyz
'x,y,z'
loop_
_atom_site_label
_atom_site_fract_x
_atom_site_fract_y
_atom_site_fract_z
Ba1 0.202 0.003 0.000
Ba2 0.298 0.997 0.500
Ba3 0.702 0.997 0.500
Ba4 0.798 0.003 0.000
Cu1 0.131 0.458 0.295
Cu2 0.369 0.542 0.795
Cu3 0.631 0.542 0.795
Cu4 0.869 0.458 0.295
Se1 0.000 0.527 0.980
Se2 0.000 0.916 0.410
Se3 0.143 0.504 0.668
Se4 0.357 0.496 0.168
Se5 0.500 0.084 0.910
Se6 0.500 0.473 0.480
Se7 0.643 0.496 0.168
Se8 0.857 0.504 0.668
O1 0.000 0.594 0.349
O2 0.000 0.841 0.980
O3 0.102 0.024 0.322
O4 0.104 0.447 0.083
O5 0.175 0.210 0.712
O6 0.188 0.536 0.488
O7 0.233 0.685 0.752
O8 0.267 0.315 0.252
O9 0.312 0.464 0.988
O10 0.325 0.790 0.212
O11 0.396 0.553 0.583
O12 0.398 0.976 0.822
O13 0.500 0.159 0.480
O14 0.500 0.406 0.849
O15 0.602 0.976 0.822
O16 0.604 0.553 0.583
O17 0.675 0.790 0.212
O18 0.688 0.464 0.988
O19 0.733 0.315 0.252
O20 0.767 0.685 0.752
O21 0.812 0.536 0.488
O22 0.825 0.210 0.712
O23 0.896 0.447 0.083
O24 0.898 0.024 0.322

***

No. 6
# BaCuSe2O8 | Alexandria | PBE | optimized geometry
# DOS at the Fermi energy = 6.68 states/eV/f.u.
# E_form (uncorrected) = -1.06 eV/atom
# Size of the total moment = 1.00 μB per cell
# Space group = No. 148
data_BaCuSe2O8
_symmetry_space_group_name_H-M 'P 1'
_symmetry_Int_Tables_number 1
_cell_length_a 8.280
_cell_length_b 8.280
_cell_length_c 8.280
_cell_angle_alpha 35.77
_cell_angle_beta 35.77
_cell_angle_gamma 35.77
loop_
_symmetry_equiv_pos_as_xyz
'x,y,z'
loop_
_atom_site_label
_atom_site_fract_x
_atom_site_fract_y
_atom_site_fract_z
Ba1 0.000 0.000 0.000
Cu1 0.500 0.500 0.500
Se1 0.240 0.240 0.240
Se2 0.760 0.760 0.760
O1 0.104 0.466 0.767
O2 0.233 0.896 0.534
O3 0.313 0.313 0.313
O4 0.466 0.767 0.104
O5 0.534 0.233 0.896
O6 0.687 0.687 0.687
O7 0.767 0.104 0.466
O8 0.896 0.534 0.233